1.
Entry from Alexandria: NbGa3F after structural relaxation (PBE-GGA).

Excess energy over the best structure of this formula in the dataset   0 meV per atom
Calculated volume   82.0 Å³/cell
Calculated density   6.5 g/cm3
Raw total energy   -22.2 eV for the cell shown
Space-group type   No. 221
Magnetization   0.00 μB per formula unit
Crystal system   cubic
Energy relative to the elements, uncorrected   -239 meV per atom

a b c (Å): 4.3447 4.3447 4.3447
angles (deg): 90.00 90.00 90.00
Closest atoms and distances in Å follow each position.
Positions (direct):
1 Nb 0.0000 0.0000 0.0000  12 Ga 3.07
2 Ga 0.0000 0.5000 0.5000  2 F 2.17
3 Ga 0.5000 0.0000 0.5000  2 F 2.17
4 Ga 0.5000 0.5000 0.0000  2 F 2.17
5 F 0.5000 0.5000 0.5000  6 Ga 2.17

=====

2.
Entry from Alexandria: NaUCu2S4 after structural relaxation (PBE-GGA).

Calculated volume   152.8 Å³/cell
Calculated density   5.6 g/cm3
Raw total energy   -42.9 eV for the cell shown
Space-group type   No. 23
Magnetization   1.30 μB per formula unit
Crystal system   orthorhombic
Energy relative to the elements, uncorrected   -696 meV per atom

a b c (Å): 5.8479 5.8479 5.8479
angles (deg): 113.48 111.27 103.82
Closest atoms and distances in Å follow each position.
Positions (direct):
1 Na 0.0000 0.0000 0.0000  8 S 2.80-3.10
2 U 0.5000 0.5000 0.0000  4 S 2.63
3 Cu 0.3113 0.8113 0.5000  4 S 2.26-2.48
4 Cu 0.6887 0.1887 0.5000  4 S 2.26-2.48
5 S 0.0666 0.0580 0.5214  2 Cu 2.26-2.48
6 S 0.4634 0.9420 0.0087  2 Cu 2.26-2.48
7 S 0.5366 0.5452 0.4786  2 Cu 2.26-2.48
8 S 0.9334 0.4548 0.9913  2 Cu 2.26-2.48

=====

3.
Entry from Alexandria: K2CoRu after structural relaxation (PBE-GGA).

Excess energy over the best structure of this formula in the dataset   590 meV per atom
Calculated volume   84.0 Å³/cell
Calculated density   4.7 g/cm3
Raw total energy   -13.4 eV for the cell shown
Space-group type   No. 65
Magnetization   2.14 μB per formula unit
Crystal system   orthorhombic
Formation energy   1.289 eV/atom

a b c (Å): 2.7677 2.7677 10.9708
angles (deg): 90.00 90.00 90.55
Closest atoms and distances in Å follow each position.
Positions (direct):
1 K 0.0000 0.0000 0.2501  4 K 2.77
2 K 0.0000 0.0000 0.7499  4 K 2.77
3 Co 0.5000 0.5000 0.0000  4 Co 2.77
4 Ru 0.5000 0.5000 0.5000  4 Ru 2.77

=====

4.
Entry from Alexandria: CaNb6S8 after structural relaxation (PBE-GGA).

Calculated volume   302.5 Å³/cell
Calculated density   4.7 g/cm3
Raw total energy   -111.5 eV for the cell shown
Space-group type   No. 148
Magnetization   0.00 μB per formula unit
Crystal system   trigonal
Energy relative to the elements, uncorrected   -1069 meV per atom

a b c (Å): 6.7140 6.7140 6.7140
angles (deg): 88.80 88.80 88.80
Closest atoms and distances in Å follow each position.
Positions (direct):
1 Ca 0.0000 0.0000 0.0000  2 S 2.75
2 Nb 0.2046 0.4064 0.5545  5 S 2.49-2.55
3 Nb 0.4064 0.5545 0.2046  5 S 2.49-2.55
4 Nb 0.4455 0.7954 0.5936  5 S 2.49-2.55
5 Nb 0.5545 0.2046 0.4064  5 S 2.49-2.55
6 Nb 0.5936 0.4455 0.7954  5 S 2.49-2.55
7 Nb 0.7954 0.5936 0.4455  5 S 2.49-2.55
8 S 0.1328 0.7449 0.3954  4 Nb 2.52-2.55
9 S 0.2313 0.2313 0.2313  3 Nb 2.49, 1 Ca 2.75
10 S 0.2551 0.6046 0.8672  4 Nb 2.52-2.55
11 S 0.3954 0.1328 0.7449  4 Nb 2.52-2.55
12 S 0.6046 0.8672 0.2551  4 Nb 2.52-2.55
13 S 0.7449 0.3954 0.1328  4 Nb 2.52-2.55
14 S 0.7687 0.7687 0.7687  3 Nb 2.49, 1 Ca 2.75
15 S 0.8672 0.2551 0.6046  4 Nb 2.52-2.55

=====

5.
Entry from Alexandria: CsAg2AsBr6 after structural relaxation (PBE-GGA).

Calculated volume   387.6 Å³/cell
Calculated density   3.9 g/cm3
Raw total energy   -27.8 eV for the cell shown
Space-group type   No. 1
Magnetization   0.00 μB per formula unit
Crystal system   triclinic
Energy relative to the elements, uncorrected   -660 meV per atom

a b c (Å): 7.3346 7.3436 9.2888
angles (deg): 67.01 67.15 60.19
Closest atoms and distances in Å follow each position.
Positions (direct):
1 Cs 0.0000 0.0000 0.0000  6 Br 3.69-3.70
2 Ag 0.1673 0.1717 0.4945  6 Br 2.86-3.01
3 Ag 0.7828 0.7904 0.6430  3 Br 2.62
4 As 0.5165 0.5184 0.4495  3 Br 2.54-2.55
5 Br 0.1418 0.7623 0.6660  2 Ag 2.62-2.86, 1 As 2.90
6 Br 0.3024 0.5299 0.2835  1 As 2.55
7 Br 0.4286 0.1450 0.6704  2 Ag 2.62-2.86, 1 As 2.91
8 Br 0.5324 0.8813 0.2837  1 As 2.54
9 Br 0.7562 0.4346 0.6698  2 Ag 2.62-2.89, 1 As 2.90
10 Br 0.8811 0.3012 0.2865  1 As 2.55

=====

6.
Entry from Alexandria: LaMg2Cd after structural relaxation (PBE-GGA).

Calculated volume   108.2 Å³/cell
Calculated density   4.6 g/cm3
Raw total energy   -9.4 eV for the cell shown
Space-group type   No. 8
Magnetization   0.06 μB per formula unit
Crystal system   monoclinic
Formation energy   -0.084 eV/atom

a b c (Å): 5.4528 5.4528 6.2944
angles (deg): 100.22 100.22 36.04
Closest atoms and distances in Å follow each position.
Positions (direct):
1 La 0.0000 0.0000 0.0000  3 Cd 3.35, 2 La 3.37, 7 Mg 3.37-3.58
2 Mg 0.2357 0.2357 0.6958  5 Mg 3.10-3.37, 2 Cd 3.15, 3 La 3.37-3.47
3 Mg 0.4920 0.4920 0.4968  3 Cd 3.07-3.27, 5 Mg 3.10-3.37
4 Cd 0.7556 0.7556 0.2811  5 Mg 3.07-3.27, 3 La 3.35, 2 Cd 3.37

=====

7.
Entry from Alexandria: La2Nd2In3 after structural relaxation (PBE-GGA).

Excess energy over the best structure of this formula in the dataset   22 meV per atom
Calculated volume   208.4 Å³/cell
Calculated density   7.3 g/cm3
Raw total energy   -30.2 eV for the cell shown
Space-group type   No. 65
Magnetization   0.00 μB per formula unit
Crystal system   orthorhombic
Formation energy   -0.373 eV/atom

a b c (Å): 12.7851 12.7851 3.6241
angles (deg): 90.00 90.00 159.40
Closest atoms and distances in Å follow each position.
Positions (direct):
1 La 0.2063 0.7937 0.0000  2 La 3.17, 4 In 3.37, 1 Nd 3.43
2 La 0.7937 0.2063 0.0000  2 La 3.17, 4 In 3.37, 1 Nd 3.43
3 Nd 0.0701 0.9299 0.0000  8 In 3.40-3.41, 1 La 3.43, 3 Nd 3.53-3.62
4 Nd 0.9299 0.0701 0.0000  8 In 3.40-3.41, 1 La 3.43, 3 Nd 3.53-3.62
5 In 0.3605 0.6395 0.5000  4 La 3.37, 4 Nd 3.40, 3 In 3.51-3.62
6 In 0.5000 0.5000 0.5000  8 Nd 3.41, 4 In 3.51-3.62
7 In 0.6395 0.3605 0.5000  4 La 3.37, 4 Nd 3.40, 3 In 3.51-3.62

=====

8.
Entry from Alexandria: K4Rb8Na after structural relaxation (PBE-GGA).

Calculated volume   1091.4 Å³/cell
Calculated density   1.3 g/cm3
Raw total energy   -12.9 eV for the cell shown
Space-group type   No. 12
Magnetization   0.00 μB per formula unit
Crystal system   monoclinic
Formation energy   0.044 eV/atom

a b c (Å): 9.3095 9.3095 13.9470
angles (deg): 90.00 90.00 64.54
Closest atoms and distances in Å follow each position.
Positions (direct):
1 K 0.0000 0.0000 0.0000  8 Rb 4.73-4.81, 2 K 4.97
2 K 0.0000 0.5000 0.5000  2 Na 4.65, 8 Rb 4.84-5.07, 2 K 4.97
3 K 0.5000 0.0000 0.5000  2 Na 4.65, 8 Rb 4.84-5.07, 2 K 4.97
4 K 0.5000 0.5000 0.0000  8 Rb 4.58-4.95, 2 K 4.97
5 Rb 0.2286 0.7707 0.2977  1 Na 3.90
6 Rb 0.2293 0.7714 0.7023  1 Na 3.90
7 Rb 0.2581 0.2581 0.1831  4 K 4.59-5.07, 7 Rb 4.93-5.11
8 Rb 0.2585 0.2585 0.8169  4 K 4.58-5.07, 7 Rb 4.92-5.11
9 Rb 0.7415 0.7415 0.1831  4 K 4.58-5.07, 7 Rb 4.92-5.11
10 Rb 0.7419 0.7419 0.8169  4 K 4.59-5.07, 7 Rb 4.93-5.11
11 Rb 0.7707 0.2286 0.2977  1 Na 3.90
12 Rb 0.7714 0.2293 0.7023  1 Na 3.90
13 Na 0.5000 0.5000 0.5000  4 Rb 3.90

=====

9.
Entry from Alexandria: TbGa12Ni4 after structural relaxation (PBE-GGA).

Calculated volume   311.5 Å³/cell
Calculated density   6.6 g/cm3
Raw total energy   -66.6 eV for the cell shown
Space-group type   No. 204
Magnetization   0.00 μB per formula unit
Crystal system   cubic
Formation energy   -0.147 eV/atom

a b c (Å): 7.3964 7.3964 7.3964
angles (deg): 109.47 109.47 109.47
Closest atoms and distances in Å follow each position.
Positions (direct):
1 Tb 0.0000 0.0000 0.0000  12 Ga 3.23
2 Ga 0.1669 0.3373 0.8296  2 Ni 2.36
3 Ga 0.1704 0.5077 0.3373  2 Ni 2.36
4 Ga 0.1704 0.8331 0.6627  2 Ni 2.36
5 Ga 0.3373 0.1704 0.5077  2 Ni 2.36
6 Ga 0.3373 0.8296 0.1669  2 Ni 2.36
7 Ga 0.4923 0.6627 0.8296  2 Ni 2.36
8 Ga 0.5077 0.3373 0.1704  2 Ni 2.36
9 Ga 0.6627 0.1704 0.8331  2 Ni 2.36
10 Ga 0.6627 0.8296 0.4923  2 Ni 2.36
11 Ga 0.8296 0.1669 0.3373  2 Ni 2.36
12 Ga 0.8296 0.4923 0.6627  2 Ni 2.36
13 Ga 0.8331 0.6627 0.1704  2 Ni 2.36
14 Ni 0.0000 0.0000 0.5000  6 Ga 2.36
15 Ni 0.0000 0.5000 0.0000  6 Ga 2.36
16 Ni 0.5000 0.0000 0.0000  6 Ga 2.36
17 Ni 0.5000 0.5000 0.5000  6 Ga 2.36

=====

10.
Entry from Alexandria: Dy2HoSi3Pt4 after structural relaxation (PBE-GGA).

Calculated volume   191.3 Å³/cell
Calculated density   11.8 g/cm3
Raw total energy   -64.8 eV for the cell shown
Space-group type   No. 115
Magnetization   0.00 μB per formula unit
Crystal system   tetragonal
Energy relative to the elements, uncorrected   -1057 meV per atom

a b c (Å): 4.1708 4.1708 10.9972
angles (deg): 90.00 90.00 90.00
Closest atoms and distances in Å follow each position.
Positions (direct):
1 Dy 0.0000 0.5000 0.2234  4 Si 3.15, 8 Pt 3.20-3.22
2 Dy 0.5000 0.0000 0.7766  4 Si 3.15, 8 Pt 3.20-3.22
3 Ho 0.0000 0.0000 0.5000  4 Pt 2.75, 4 Si 2.95
4 Si 0.0000 0.5000 0.8774  5 Pt 2.36-2.48
5 Si 0.5000 0.0000 0.1226  5 Pt 2.36-2.48
6 Si 0.5000 0.5000 0.5000  4 Pt 2.75, 4 Ho 2.95
7 Pt 0.0000 0.0000 0.0000  4 Si 2.48
8 Pt 0.0000 0.5000 0.6626  1 Si 2.36
9 Pt 0.5000 0.0000 0.3374  1 Si 2.36
10 Pt 0.5000 0.5000 0.0000  4 Si 2.48

=====

11.
Entry from Alexandria: KAs2PH6 after structural relaxation (PBE-GGA).

Calculated volume   298.3 Å³/cell
Calculated density   2.5 g/cm3
Raw total energy   -68.6 eV for the cell shown
Space-group type   No. 58
Magnetization   0.00 μB per formula unit
Crystal system   orthorhombic

a b c (Å): 6.3361 7.5114 6.2676
angles (deg): 90.00 90.00 90.00
Closest atoms and distances in Å follow each position.
Positions (direct):
1 K 0.0000 0.0000 0.0000  4 H 2.49
2 K 0.5000 0.5000 0.5000  4 H 2.49
3 As 0.1886 0.0415 0.5000  1 H 1.55
4 As 0.3114 0.5415 0.0000  1 H 1.55
5 As 0.6886 0.4585 0.0000  1 H 1.55
6 As 0.8114 0.9585 0.5000  1 H 1.55
7 P 0.0000 0.5000 0.5000  4 H 1.54
8 P 0.5000 0.0000 0.0000  4 H 1.54
9 H 0.1549 0.5416 0.3180  1 P 1.54
10 H 0.1549 0.5416 0.6820  1 P 1.54
11 H 0.2477 0.8407 0.5000  1 As 1.55
12 H 0.2523 0.3407 0.0000  1 As 1.55
13 H 0.3451 0.0416 0.1820  1 P 1.54
14 H 0.3451 0.0416 0.8180  1 P 1.54
15 H 0.6549 0.9584 0.1820  1 P 1.54
16 H 0.6549 0.9584 0.8180  1 P 1.54
17 H 0.7477 0.6593 0.0000  1 As 1.55
18 H 0.7523 0.1593 0.5000  1 As 1.55
19 H 0.8451 0.4584 0.3180  1 P 1.54
20 H 0.8451 0.4584 0.6820  1 P 1.54

=====

12.
Entry from Alexandria: PrPu2Os9 after structural relaxation (PBE-GGA).

Calculated volume   215.7 Å³/cell
Calculated density   18.0 g/cm3
Raw total energy   -134.0 eV for the cell shown
Space-group type   No. 2
Magnetization   8.64 μB per formula unit
Crystal system   triclinic
Formation energy   0.043 eV/atom

a b c (Å): 5.3221 5.3316 9.1950
angles (deg): 90.93 106.57 118.68
Closest atoms and distances in Å follow each position.
Positions (direct):
1 Pr 0.0000 0.0000 0.0000  6 Os 3.00-3.31
2 Pu 0.2836 0.1406 0.4240  12 Os 3.04-3.31, 3 Pu 3.32-3.39
3 Pu 0.7164 0.8594 0.5760  12 Os 3.04-3.31, 3 Pu 3.32-3.39
4 Os 0.0000 0.5000 0.5000  6 Os 2.62-2.73
5 Os 0.1596 0.5846 0.2417  7 Os 2.60-2.74
6 Os 0.3347 0.3999 0.7353  7 Os 2.60-2.75
7 Os 0.3433 0.9181 0.7595  7 Os 2.60-2.75
8 Os 0.3542 0.6348 0.9926  7 Os 2.55-2.74
9 Os 0.6458 0.3652 0.0074  7 Os 2.55-2.74
10 Os 0.6567 0.0819 0.2405  7 Os 2.60-2.75
11 Os 0.6653 0.6001 0.2647  7 Os 2.60-2.75
12 Os 0.8404 0.4154 0.7583  7 Os 2.60-2.74

=====

Question: Number 4 is which compound?
Answer: CaNb6S8

=====

Question: What is the formula in the first record?
Answer: NbGa3F